# PBE-GGA CePrNpO6, relaxed
# **Raw formation energy**: -27.95 eV per formula unit
# **E_tot**: -162.7 eV for the cell shown
data_CePrNpO6
_cell_length_a 5.951
_cell_length_b 5.951
_cell_length_c 9.395
_cell_angle_alpha 90.00
_cell_angle_beta 90.00
_cell_angle_gamma 120.00
_space_group_name_H-M_alt 'P 1'
_space_group_IT_number 1
_space_group_name_Hall 'P 1'
loop_
_atom_site_label
_atom_site_type_symbol
_atom_site_fract_x
_atom_site_fract_y
_atom_site_fract_z
Ce1 Ce 0.000 0.000 0.000
Ce2 Ce 0.000 0.000 0.500
Pr1 Pr 0.333 0.667 0.250
Pr2 Pr 0.667 0.333 0.750
Np1 Np 0.667 0.333 0.250
Np2 Np 0.333 0.667 0.750
O1 O 0.678 0.641 0.131
O2 O 0.963 0.322 0.131
O3 O 0.322 0.963 0.631
O4 O 0.037 0.678 0.869
O5 O 0.359 0.322 0.369
O6 O 0.963 0.641 0.369
O7 O 0.641 0.963 0.869
O8 O 0.678 0.037 0.369
O9 O 0.037 0.359 0.631
O10 O 0.359 0.037 0.131
O11 O 0.641 0.678 0.631
O12 O 0.322 0.359 0.869